[1]
## MgMo2PdBr (SCAN)

Data for a PBEsol-optimized structure of MgMo2PdBr. Values from VASP.

Quantum ESPRESSO input file:
```
&SYSTEM
  ibrav = 0, nat = 5, ntyp = 4
/
ATOMIC_SPECIES
Pd 106.42 Pd.upf
Br 79.90 Br.upf
Mg 24.30 Mg.upf
Mo 95.94 Mo.upf
CELL_PARAMETERS angstrom
4.8653 0.0000 0.0000
0.0000 4.8653 0.0000
0.0000 0.0000 4.9995
ATOMIC_POSITIONS crystal
Pd 0.0000 0.0000 0.0000
Br 0.5000 0.5000 0.5000
Mg 0.0000 0.0000 0.5000
Mo 0.5000 0.0000 0.0000
Mo 0.0000 0.5000 0.0000
```

For the density of states at the Fermi level, the calculation gives 3.2 states/eV/cell. The volume comes out at 23.7 A^3/atom. The crystal system is tetragonal. Its formation energy without anion corrections is 1.185 eV/atom.

=====

[2]
## Mg2SiSb (SCAN)

Data for a PBEsol-optimized structure of Mg2SiSb. Values from VASP.

Quantum ESPRESSO input file:
```
&SYSTEM
  ibrav = 0, nat = 4, ntyp = 3
/
ATOMIC_SPECIES
Si 28.09 Si.upf
Mg 24.30 Mg.upf
Sb 121.76 Sb.upf
CELL_PARAMETERS angstrom
3.1695 0.0000 0.0000
0.0000 4.4297 0.0000
0.0000 0.0000 6.0249
ATOMIC_POSITIONS crystal
Si 0.5000 0.5000 0.8072
Mg 0.5000 0.5000 0.2695
Sb 0.0000 0.0000 0.4669
Mg 0.0000 0.0000 0.9564
```

For the density of states at the Fermi level, the calculation gives 2.0 states/eV/cell. The volume comes out at 21.1 A^3/atom. The crystal system is orthorhombic. Its formation energy without anion corrections is 0.117 eV/atom.

=====

[3]
## SrTa2Au (SCAN)

Data for a PBEsol-optimized structure of SrTa2Au. Values from VASP.

Quantum ESPRESSO input file:
```
&SYSTEM
  ibrav = 0, nat = 4, ntyp = 3
/
ATOMIC_SPECIES
Ta 180.95 Ta.upf
Sr 87.62 Sr.upf
Au 196.97 Au.upf
CELL_PARAMETERS angstrom
-2.9071 0.5354 -0.6929
-0.6284 -5.2499 -1.4201
0.4050 1.2130 5.8896
ATOMIC_POSITIONS crystal
Ta 0.9659 0.9659 0.9317
Sr 0.7556 0.2556 0.5113
Ta 0.2518 0.7518 0.5037
Au 0.5267 0.5267 0.0533
```

The value obtained for the total energy is -55.53 eV/atom. For the density of states at the Fermi level, the calculation gives 3.7 states/eV/cell. The volume comes out at 21.4 A^3/atom. The crystal system is orthorhombic.

=====

[4]
## BeCdW2 (SCAN)

Data for a PBEsol-optimized structure of BeCdW2. Values from VASP.

Quantum ESPRESSO input file:
```
&SYSTEM
  ibrav = 0, nat = 4, ntyp = 3
/
ATOMIC_SPECIES
Be 9.01 Be.upf
Cd 112.41 Cd.upf
W 183.84 W.upf
CELL_PARAMETERS angstrom
2.7765 0.0000 0.0000
1.3883 2.4045 0.0000
1.3883 0.8015 9.1625
ATOMIC_POSITIONS crystal
Be 0.4957 0.4957 0.5130
Cd 0.2433 0.2433 0.2701
W 0.0038 0.0038 0.9887
W 0.7573 0.7573 0.7282
```

The value obtained for the total energy is -43.02 eV/atom. For the density of states at the Fermi level, the calculation gives 1.9 states/eV/cell. The volume comes out at 15.3 A^3/atom. The crystal system is trigonal.